# CoS | the Alexandria database | PBE | relaxed
# Raw total energy (eV/atom): -5.78
# Space group: I4mm (107)
# ΔE_f (raw) (eV per formula unit): -0.3
# Fermi-level density of states (states/eV/atom): 1.1660
data_CoS
_chemical_formula_sum 'Co1 S1'
_space_group_name_H-M_alt 'P 1'
_space_group_IT_number 1
_space_group_name_Hall 'P 1'
_cell_length_a 3.767
_cell_length_b 3.767
_cell_length_c 3.767
_cell_angle_alpha 134.28
_cell_angle_beta 134.28
_cell_angle_gamma 66.65
loop_
_atom_site_label
_atom_site_fract_x
_atom_site_fract_y
_atom_site_fract_z
Co1 0.000 0.000 0.000
S1 0.641 0.641 0.000